# 1
{"formula": "InSi2Ag", "functional": "GGA-PBE", "state": "optimized geometry", "lattice_angstrom": [[-0.881, 1.883, 2.306], [-2.818, -1.303, -0.013], [2.461, -5.376, 5.332]], "species": ["Si", "In", "Ag", "Si"], "fractional_positions": [[0.000, 0.000, 0.472], [0.500, 0.500, 0.750], [0.500, 0.500, 0.250], [0.000, 0.000, 0.028]], "raw_formation_energy_mev_per_atom": 457, "mass_density_g_cm3": 6.034, "total_energy_ry_per_atom": -0.2684, "m_tot_mub_per_fu": 0.0, "volume_a3_per_cell": 76.7}

=====

# 2
{"formula": "In2SiAg", "functional": "GGA-PBE", "state": "optimized geometry", "lattice_angstrom": [[4.338, 0.000, 0.000], [0.000, 4.131, -0.053], [0.000, 1.918, 4.949]], "species": ["In", "Si", "In", "Ag"], "fractional_positions": [[0.000, 0.990, 0.914], [0.000, 0.689, 0.476], [0.500, 0.261, 0.337], [0.500, 0.560, 0.773]], "raw_formation_energy_mev_per_atom": 187, "mass_density_g_cm3": 6.810, "total_energy_ry_per_atom": -0.2389, "m_tot_mub_per_fu": 0.0, "volume_a3_per_cell": 89.1}

=====

# 3
{"formula": "In2SiAg2", "functional": "GGA-PBE", "state": "optimized geometry", "lattice_angstrom": [[6.967, 0.000, 0.000], [0.000, 6.967, 0.000], [0.000, 0.000, 4.468]], "species": ["Ag", "Ag", "In", "In", "Si", "In", "In", "Si", "Ag", "Ag"], "fractional_positions": [[0.146, 0.354, 0.000], [0.646, 0.146, 0.000], [0.165, 0.665, 0.500], [0.665, 0.835, 0.500], [0.500, 0.500, 0.000], [0.835, 0.335, 0.500], [0.335, 0.165, 0.500], [0.000, 0.000, 0.000], [0.354, 0.854, 0.000], [0.854, 0.646, 0.000]], "raw_formation_energy_mev_per_atom": 248, "mass_density_g_cm3": 7.251, "total_energy_ry_per_atom": -0.2258, "m_tot_mub_per_fu": 0.0, "de_polymorph_mev_per_atom": 0.0, "volume_a3_per_cell": 216.9}

=====

# 4
{"formula": "In2SiAg", "functional": "GGA-PBE", "state": "optimized geometry", "lattice_angstrom": [[-0.649, 2.456, 2.060], [-3.065, -1.091, 0.340], [2.334, -4.613, 6.234]], "species": ["Ag", "In", "In", "Si"], "fractional_positions": [[0.500, 0.500, 0.713], [0.000, 0.000, 0.971], [0.500, 0.500, 0.285], [0.000, 0.000, 0.531]], "raw_formation_energy_mev_per_atom": 227, "mass_density_g_cm3": 7.005, "total_energy_ry_per_atom": -0.2360, "m_tot_mub_per_fu": 0.0, "volume_a3_per_cell": 86.7}

=====

# 5
{"formula": "InSi2Ag", "functional": "GGA-PBE", "state": "optimized geometry", "lattice_angstrom": [[-3.643, -1.551, 2.665], [0.742, -1.302, 4.532], [-1.670, 2.701, 3.563]], "species": ["Ag", "Si", "Si", "In"], "fractional_positions": [[0.500, 0.500, 0.500], [0.000, 0.000, 0.000], [0.250, 0.250, 0.250], [0.750, 0.750, 0.750]], "raw_formation_energy_mev_per_atom": 493, "mass_density_g_cm3": 6.022, "total_energy_ry_per_atom": -0.2658, "m_tot_mub_per_fu": 0.0, "volume_a3_per_cell": 76.9}

=====

# 6
{"formula": "InSi2Ag", "functional": "GGA-PBE", "state": "optimized geometry", "lattice_angstrom": [[2.860, 0.000, 0.000], [0.000, 4.078, 0.000], [0.000, 0.000, 6.729]], "species": ["Ag", "In", "Si", "Si"], "fractional_positions": [[0.500, 0.500, 0.250], [0.500, 0.500, 0.750], [0.000, 0.000, 0.051], [0.000, 0.000, 0.449]], "raw_formation_energy_mev_per_atom": 420, "mass_density_g_cm3": 5.900, "total_energy_ry_per_atom": -0.2711, "m_tot_mub_per_fu": 0.0, "volume_a3_per_cell": 78.5}

=====

# 7
{"formula": "In2SiAg2", "functional": "GGA-PBE", "state": "optimized geometry", "lattice_angstrom": [[8.319, 0.000, 0.000], [0.000, 8.319, 0.000], [0.000, 0.000, 3.104]], "species": ["Ag", "Ag", "Si", "In", "In", "Si", "In", "In", "Ag", "Ag"], "fractional_positions": [[0.620, 0.880, 0.500], [0.380, 0.120, 0.500], [0.000, 0.000, 0.000], [0.321, 0.821, 0.000], [0.821, 0.679, 0.000], [0.500, 0.500, 0.000], [0.679, 0.179, 0.000], [0.179, 0.321, 0.000], [0.120, 0.620, 0.500], [0.880, 0.380, 0.500]], "raw_formation_energy_mev_per_atom": 313, "mass_density_g_cm3": 7.320, "total_energy_ry_per_atom": -0.2211, "m_tot_mub_per_fu": 0.0, "de_polymorph_mev_per_atom": 64.1, "volume_a3_per_cell": 214.8}

=====

# 8
{"formula": "In2SiAg", "functional": "GGA-PBE", "state": "optimized geometry", "lattice_angstrom": [[-3.111, -2.069, -1.682], [1.447, 0.213, -2.939], [4.186, -5.341, -1.174]], "species": ["Ag", "Si", "In", "In"], "fractional_positions": [[0.500, 0.750, 0.750], [0.500, 0.250, 0.250], [0.000, 0.482, 0.496], [0.000, 0.018, 0.004]], "raw_formation_energy_mev_per_atom": 268, "mass_density_g_cm3": 7.055, "total_energy_ry_per_atom": -0.2330, "m_tot_mub_per_fu": 0.0, "volume_a3_per_cell": 86.1}

=====

# 9
{"formula": "InSi2Ag", "functional": "GGA-PBE", "state": "optimized geometry", "lattice_angstrom": [[-4.493, 1.327, 2.337], [-2.357, -4.216, 2.020], [4.879, 1.859, 0.383]], "species": ["In", "Ag", "Si", "Si"], "fractional_positions": [[0.750, 0.250, 0.500], [0.250, 0.750, 0.500], [0.000, 0.000, 0.000], [0.500, 0.500, 0.000]], "raw_formation_energy_mev_per_atom": 467, "mass_density_g_cm3": 6.075, "total_energy_ry_per_atom": -0.2677, "m_tot_mub_per_fu": 0.0, "volume_a3_per_cell": 76.2}

=====

# 10
{"formula": "InSi2Ag", "functional": "GGA-PBE", "state": "optimized geometry", "lattice_angstrom": [[-4.884, -8.074, 4.478], [-4.420, -9.281, 1.852], [-2.338, -9.401, 3.907]], "species": ["Ag", "Si", "In", "Si"], "fractional_positions": [[0.250, 0.250, 0.250], [0.990, 0.990, 0.990], [0.750, 0.750, 0.750], [0.510, 0.510, 0.510]], "raw_formation_energy_mev_per_atom": 466, "mass_density_g_cm3": 6.054, "total_energy_ry_per_atom": -0.2677, "m_tot_mub_per_fu": 0.0, "volume_a3_per_cell": 76.5}

=====

# 11
{"formula": "In2SiAg", "functional": "GGA-PBE", "state": "optimized geometry", "lattice_angstrom": [[-2.787, 2.077, 4.118], [-4.881, 0.635, 2.192], [-0.723, -4.033, 3.805]], "species": ["In", "Ag", "Si", "In"], "fractional_positions": [[0.773, 0.773, 0.693], [0.218, 0.218, 0.219], [0.529, 0.529, 0.547], [0.981, 0.981, 0.041]], "raw_formation_energy_mev_per_atom": 229, "mass_density_g_cm3": 6.989, "total_energy_ry_per_atom": -0.2358, "m_tot_mub_per_fu": 0.0, "volume_a3_per_cell": 86.9}

=====

# 12
{"formula": "In2SiAg", "functional": "GGA-PBE", "state": "optimized geometry", "lattice_angstrom": [[3.195, 0.000, 0.000], [0.000, 3.195, 0.000], [0.000, 0.000, 8.232]], "species": ["Ag", "In", "In", "Si"], "fractional_positions": [[0.500, 0.500, 0.750], [0.000, 0.000, 0.499], [0.000, 0.000, 0.001], [0.500, 0.500, 0.250]], "raw_formation_energy_mev_per_atom": 258, "mass_density_g_cm3": 7.222, "total_energy_ry_per_atom": -0.2337, "m_tot_mub_per_fu": 0.0, "volume_a3_per_cell": 84.1}

=====

# 13
{"formula": "InSi2Ag", "functional": "GGA-PBE", "state": "optimized geometry", "lattice_angstrom": [[-3.630, -2.503, -0.083], [1.901, -2.658, -2.962], [2.290, -7.366, 4.798]], "species": ["In", "Ag", "Si", "Si", "In", "Si", "Si", "Ag"], "fractional_positions": [[0.750, 0.250, 0.500], [0.500, 0.500, 0.000], [0.375, 0.460, 0.750], [0.540, 0.125, 0.250], [0.000, 0.000, 0.000], [0.210, 0.625, 0.250], [0.875, 0.790, 0.750], [0.250, 0.750, 0.500]], "raw_formation_energy_mev_per_atom": 362, "mass_density_g_cm3": 5.580, "total_energy_ry_per_atom": -0.2754, "m_tot_mub_per_fu": 0.0, "volume_a3_per_cell": 166.0}

=====

# 14
{"formula": "In3SiAg", "functional": "GGA-PBE", "state": "optimized geometry", "lattice_angstrom": [[-3.726, -3.749, 0.090], [3.252, -3.167, 2.710], [-1.868, 1.965, 4.539]], "species": ["Ag", "In", "Si", "In", "In"], "fractional_positions": [[0.000, 0.000, 0.000], [0.000, 0.500, 0.000], [0.500, 0.500, 0.500], [0.500, 0.000, 0.000], [0.000, 0.000, 0.500]], "raw_formation_energy_mev_per_atom": 637, "mass_density_g_cm3": 5.398, "total_energy_ry_per_atom": -0.1956, "m_tot_mub_per_fu": 0.0, "de_polymorph_mev_per_atom": 138.2, "volume_a3_per_cell": 147.8}

=====

# 15
{"formula": "InSi2Ag", "functional": "GGA-PBE", "state": "optimized geometry", "lattice_angstrom": [[-2.776, -2.446, -0.079], [0.726, -3.578, -0.603], [-0.013, -3.052, 6.511]], "species": ["Ag", "Si", "In", "Si"], "fractional_positions": [[0.488, 0.488, 0.535], [0.738, 0.738, 0.787], [0.253, 0.253, 0.240], [0.021, 0.021, 0.937]], "raw_formation_energy_mev_per_atom": 226, "mass_density_g_cm3": 5.682, "total_energy_ry_per_atom": -0.2854, "m_tot_mub_per_fu": 0.0, "volume_a3_per_cell": 81.5}